(1)
Ba2Zn4Ga2Ir after structural relaxation. Source: Alexandria via LeMat-Bulk, functional PBE.

Summary:
**Energy**: -25.8 eV per cell
**Volume**: 203 Å³/f.u.
**Calculated formation energy**: -188.3 kJ/mol of formula units

Structure (POSCAR):
```
Ba2Zn4Ga2Ir
1.0
6.5569 -0.0015 -0.0021
-3.1487 5.7514 0.0021
-3.1487 -2.0187 5.3855
Zn Ga Ir Ba
4 2 1 2
Cartesian
-1.6169 2.7046 3.9036 Zn
-3.1487 0.1202 3.9036 Zn
1.8763 1.0267 1.4819 Zn
-3.1487 3.6125 1.4840 Zn
-1.7751 1.0522 1.5187 Ga
-4.5223 2.6805 3.8690 Ga
0.0000 0.0000 0.0000 Ir
0.1297 3.8081 1.3469 Ba
0.1297 -0.0769 4.0386 Ba
```

(2)
ZnRe2W after structural relaxation. Source: Alexandria via LeMat-Bulk, functional PBE.

Summary:
**Energy**: -38.3 eV per cell
**Volume**: 60 Å³/f.u.
**Calculated formation energy**: 80.3 kJ/mol of formula units

Structure (POSCAR):
```
ZnRe2W
1.0
2.7614 0.0000 0.0000
0.0000 4.0647 0.0000
0.0000 0.0000 5.3550
Re Zn W
2 1 1
Cartesian
1.3807 2.0323 1.3114 Re
0.0000 0.0000 0.0125 Re
1.3807 2.0323 4.0204 Zn
0.0000 0.0000 2.6883 W
```

(3)
CaB2Ir after structural relaxation. Source: Alexandria via LeMat-Bulk, functional PBE.

Summary:
**Energy**: -25.1 eV per cell
**Volume**: 57 Å³/f.u.
**Calculated formation energy**: -83.4 kJ/mol of formula units

Structure (POSCAR):
```
CaB2Ir
1.0
-2.2379 1.7585 2.3467
0.0355 -0.8696 3.5848
2.7031 3.6352 2.7531
B Ca Ir
2 1 1
Cartesian
0.9662 3.9670 6.6468 B
-0.4656 0.5572 2.0378 B
0.2503 2.2621 4.3423 Ca
0.0000 0.0000 0.0000 Ir
```

Repeat the third record exactly.
CaB2Ir after structural relaxation. Source: Alexandria via LeMat-Bulk, functional PBE.

Summary:
**Energy**: -25.1 eV per cell
**Volume**: 57 Å³/f.u.
**Calculated formation energy**: -83.4 kJ/mol of formula units

Structure (POSCAR):
```
CaB2Ir
1.0
-2.2379 1.7585 2.3467
0.0355 -0.8696 3.5848
2.7031 3.6352 2.7531
B Ca Ir
2 1 1
Cartesian
0.9662 3.9670 6.6468 B
-0.4656 0.5572 2.0378 B
0.2503 2.2621 4.3423 Ca
0.0000 0.0000 0.0000 Ir
```

Which of these has the lowest volume? CaB2Ir

Among the records above, which one has the highest energy? CaB2Ir